[1]
# Nd3CoCu | Alexandria | PBE | relaxed
# formation enthalpy at 0 K: -78 meV per atom
# size of the total moment: 0.00 μB per formula unit
# distance to the lowest polymorph of the same formula: 0.0 meV/atom
# D(E_F): 0.92 states/eV per atom
# mass density: 7.25 g/cm3
data_Nd3CoCu
_chemical_formula_sum 'Nd12 Co4 Cu4'
_space_group_name_H-M_alt 'C 1 2/m 1'
_space_group_IT_number 12
_space_group_name_Hall '-C 2y'
_cell_length_a 10.669
_cell_length_b 6.448
_cell_length_c 8.000
_cell_angle_alpha 90.00
_cell_angle_beta 112.53
_cell_angle_gamma 90.00
loop_
_atom_site_label
_atom_site_type_symbol
_atom_site_fract_x
_atom_site_fract_y
_atom_site_fract_z
Nd1 Nd 0.007 0.000 0.231
Nd2 Nd 0.190 0.500 0.854
Nd3 Nd 0.192 0.500 0.337
Co1 Co 0.000 0.320 0.000
Cu1 Cu 0.000 0.304 0.500

=====

[2]
# Pr4PtRhBr2 | Alexandria | PBE | relaxed
# energy relative to the elements, uncorrected: -1.15 eV/atom
# size of the total moment: 0.00 μB per formula unit
# D(E_F): 0.57 states/eV per atom
# mass density: 7.03 g/cm3
data_Pr4PtRhBr2
_chemical_formula_sum 'Pr4 Pt1 Rh1 Br2'
_space_group_name_H-M_alt 'P 1 2/m 1'
_space_group_IT_number 10
_space_group_name_Hall '-P 2y'
_cell_length_a 7.312
_cell_length_b 4.212
_cell_length_c 8.212
_cell_angle_alpha 90.00
_cell_angle_beta 107.43
_cell_angle_gamma 90.00
loop_
_atom_site_label
_atom_site_type_symbol
_atom_site_fract_x
_atom_site_fract_y
_atom_site_fract_z
Pr1 Pr 0.229 0.000 0.196
Pr2 Pr 0.262 0.500 0.803
Pt1 Pt 0.500 0.000 0.000
Rh1 Rh 0.000 0.500 0.000
Br1 Br 0.000 0.000 0.500
Br2 Br 0.500 0.500 0.500

=====

[3]
# CuNi2W | Alexandria | PBE | relaxed
# formation enthalpy at 0 K: 209 meV per atom
# size of the total moment: 0.00 μB per formula unit
# distance to the lowest polymorph of the same formula: 197.0 meV/atom
# D(E_F): 0.93 states/eV per atom
# mass density: 12.02 g/cm3
data_CuNi2W
_chemical_formula_sum 'Cu1 Ni2 W1'
_space_group_name_H-M_alt 'P 1 2/m 1'
_space_group_IT_number 10
_space_group_name_Hall '-P 2y'
_cell_length_a 4.487
_cell_length_b 2.612
_cell_length_c 4.666
_cell_angle_alpha 90.00
_cell_angle_beta 112.83
_cell_angle_gamma 90.00
loop_
_atom_site_label
_atom_site_type_symbol
_atom_site_fract_x
_atom_site_fract_y
_atom_site_fract_z
Cu1 Cu 0.000 0.000 0.000
Ni1 Ni 0.500 0.000 0.500
Ni2 Ni 0.500 0.500 0.000
W1 W 0.000 0.500 0.500

=====

[4]
# Rb7AuCl2O2 | Alexandria | PBE | relaxed
# energy relative to the elements, uncorrected: -1.13 eV/atom
# size of the total moment: 0.19 μB per formula unit
# mass density: 3.28 g/cm3
data_Rb7AuCl2O2
_chemical_formula_sum 'Rb14 Au2 Cl4 O4'
_space_group_name_H-M_alt 'I m m 2'
_space_group_IT_number 44
_space_group_name_Hall 'I 2 -2'
_cell_length_a 5.015
_cell_length_b 25.840
_cell_length_c 7.023
_cell_angle_alpha 90.00
_cell_angle_beta 90.00
_cell_angle_gamma 90.00
loop_
_atom_site_label
_atom_site_type_symbol
_atom_site_fract_x
_atom_site_fract_y
_atom_site_fract_z
Rb1 Rb 0.000 0.000 0.000
Rb2 Rb 0.000 0.091 0.464
Rb3 Rb 0.000 0.211 0.129
Rb4 Rb 0.000 0.384 0.437
Au1 Au 0.000 0.500 0.127
Cl1 Cl 0.000 0.209 0.631
O1 O 0.000 0.105 0.102

=====

[5]
# VSnAs2Se | Alexandria | PBE | relaxed
# energy relative to the elements, uncorrected: 0.11 eV/atom
# size of the total moment: 0.00 μB per formula unit
# distance to the lowest polymorph of the same formula: 0.0 meV/atom
# D(E_F): 0.79 states/eV per atom
# mass density: 5.69 g/cm3
data_VSnAs2Se
_chemical_formula_sum 'V1 Sn1 As2 Se1'
_space_group_name_H-M_alt 'P 4/m m m'
_space_group_IT_number 123
_space_group_name_Hall '-P 4 2'
_cell_length_a 4.668
_cell_length_b 4.668
_cell_length_c 5.335
_cell_angle_alpha 90.00
_cell_angle_beta 90.00
_cell_angle_gamma 90.00
loop_
_atom_site_label
_atom_site_type_symbol
_atom_site_fract_x
_atom_site_fract_y
_atom_site_fract_z
V1 V 0.000 0.000 0.000
Sn1 Sn 0.500 0.500 0.500
As1 As 0.000 0.500 0.000
Se1 Se 0.000 0.000 0.500

=====

[6]
# SmAg9Hg2 | Alexandria | PBE | relaxed
# formation enthalpy at 0 K: -11 meV per atom
# size of the total moment: 0.00 μB per formula unit
# D(E_F): 0.46 states/eV per atom
# mass density: 10.10 g/cm3
data_SmAg9Hg2
_chemical_formula_sum 'Sm3 Ag27 Hg6'
_space_group_name_H-M_alt 'R -3 m'
_space_group_IT_number 166
_space_group_name_Hall '-R 3 2"'
_cell_length_a 5.6734
_cell_length_b 5.6734
_cell_length_c 26.9342
_cell_angle_alpha 90.00
_cell_angle_beta 90.00
_cell_angle_gamma 120.00
loop_
_atom_site_label
_atom_site_type_symbol
_atom_site_fract_x
_atom_site_fract_y
_atom_site_fract_z
Sm1 Sm 0.0000 0.0000 0.0000
Ag1 Ag 0.0000 0.0000 0.3337
Ag2 Ag 0.0000 0.0000 0.5000
Ag3 Ag 0.0045 0.5023 0.9150
Hg1 Hg 0.0000 0.0000 0.1369